Computed, not measured: crystalline LiZnRe2 at its relaxed geometry at the PBE-GGA level of DFT.

The spin magnetization is 0.00 μB per atom. As for the formation energy: 312 meV per atom. The total energy comes out at -53.67 eV per cell.

The structure belongs to space group Cmmm (No. 65); the cell edges are 3.034, 4.256 and 9.070 Å and the angles 90.00°, 90.00° and 90.00°. The inequivalent atoms are Li at (0.000, 0.000, 0.000), Zn at (0.000, 0.000, 0.500) and Re at (0.000, 0.500, 0.255).

***

Computed, not measured: crystalline MgTlTe2 at its relaxed geometry at the PBE-GGA level of DFT.

The spin magnetization is 0.00 μB per atom. The total energy comes out at -47.68 eV per cell. As for the formation energy without anion corrections: -419 meV/atom.

The structure belongs to space group I-42d (No. 122); the cell edges are 6.832, 6.832 and 13.784 Å and the angles 90.00°, 90.00° and 90.00°. The inequivalent atoms are Mg at (0.000, 0.000, 0.000), Tl at (0.000, 0.000, 0.500) and Te at (0.213, 0.250, 0.125).

***

Computed, not measured: crystalline Pm2Zn3Pb at its relaxed geometry at the PBE-GGA level of DFT.

The relative energy among the computed polymorphs comes out at 0.0 meV per atom. The spin magnetization is 0.00 μB per atom. As for the formation energy: -395 meV per atom. The total energy comes out at -155.23 eV per cell.

The structure belongs to space group Fmmm (No. 69); the cell edges are 7.547, 9.297 and 16.093 Å and the angles 90.00°, 90.00° and 90.00°. The inequivalent atoms are Pm at (0.243, 0.000, 0.000), Pm at (0.250, 0.250, 0.250), Zn at (0.000, 0.000, 0.159), Zn at (0.000, 0.241, 0.079) and Pb at (0.000, 0.000, 0.335).

***

Computed, not measured: crystalline LaPm2NpO8 at its relaxed geometry at the PBE-GGA level of DFT.

The spin magnetization is 0.00 μB per atom. The total energy comes out at -104.91 eV per cell. As for the formation energy without anion corrections: -3156 meV/atom.

The structure belongs to space group P2/m (No. 10); the cell edges are 4.010, 7.664 and 5.547 Å and the angles 90.00°, 94.79° and 90.00°. The inequivalent atoms are La at (0.000, 0.000, 0.000), Pm at (0.500, 0.245, 0.500), Np at (0.000, 0.500, 0.000), O at (0.035, 0.287, 0.766), O at (0.441, 0.500, 0.216) and O at (0.495, 0.000, 0.743).

***

Computed, not measured: crystalline Rb8H5F3 at its relaxed geometry at the PBE-GGA level of DFT.

The spin magnetization is 0.00 μB per atom. The total energy comes out at -143.46 eV per cell.

The structure belongs to space group R-3m (No. 166, hexagonal axes); the cell edges are 8.3372, 8.3372 and 20.5143 Å and the angles 90.00°, 90.00° and 120.00°. The inequivalent atoms are Rb at (0.0000, 0.0000, 0.2469), Rb at (0.0048, 0.5024, 0.7525), H at (0.0000, 0.0000, 0.0000), H at (0.0000, 0.0000, 0.5000), H at (0.0000, 0.5000, 0.0000) and F at (0.0000, 0.5000, 0.5000).

***

Computed, not measured: crystalline RbNbTlF6 at its relaxed geometry at the PBE-GGA level of DFT.

The spin magnetization is 0.11 μB per atom. The total energy comes out at -98.03 eV per cell. As for the formation energy without anion corrections: -2709 meV/atom.

The structure belongs to space group P-31c (No. 163); the cell edges are 6.9571, 6.9571 and 8.5128 Å and the angles 90.00°, 90.00° and 120.00°. The inequivalent atoms are Rb at (0.3333, 0.6667, 0.2500), Nb at (0.3333, 0.6667, 0.7500), Tl at (0.0000, 0.0000, 0.0000) and F at (0.0900, 0.4155, 0.6266).

***

Computed, not measured: crystalline LiCeTh2P4 at its relaxed geometry at the PBE-GGA level of DFT.

The spin magnetization is 0.06 μB per atom. As for the formation energy: -1215 meV per atom. The total energy comes out at -54.05 eV per cell.

The structure belongs to space group P2/m (No. 10); the cell edges are 7.052, 4.156 and 7.100 Å and the angles 90.00°, 109.49° and 90.00°. The inequivalent atoms are Li at (0.000, 0.000, 0.000), Ce at (0.000, 0.500, 0.500), Th at (0.500, 0.000, 0.500), Th at (0.500, 0.500, 0.000), P at (0.247, 0.000, 0.749) and P at (0.253, 0.500, 0.255).

***

Computed, not measured: crystalline K2Tl3Hg5 at its relaxed geometry at the PBE-GGA level of DFT.

The spin magnetization is 0.00 μB per atom. As for the formation energy: -130 meV per atom. The total energy comes out at -48.40 eV per cell.

The structure belongs to space group Ibam (No. 72); the cell edges are 11.949, 15.963 and 7.077 Å and the angles 90.00°, 90.00° and 90.00°. The inequivalent atoms are K at (0.236, 0.130, 0.000), Tl at (0.000, 0.500, 0.250), Tl at (0.087, 0.145, 0.500), Hg at (0.000, 0.000, 0.250), Hg at (0.000, 0.291, 0.250) and Hg at (0.166, 0.395, 0.000).

***

Computed, not measured: crystalline BaPrMg2Hg4 at its relaxed geometry at the PBE-GGA level of DFT.

The spin magnetization is 0.00 μB per atom. As for the formation energy: -408 meV per atom. The total energy comes out at -43.09 eV per cell.

The structure belongs to space group R-3m (No. 166, hexagonal axes); the cell edges are 5.2356, 5.2356 and 27.7513 Å and the angles 90.00°, 90.00° and 120.00°. The inequivalent atoms are Ba at (0.0000, 0.0000, 0.0000), Pr at (0.0000, 0.0000, 0.5000), Mg at (0.0000, 0.0000, 0.2411), Hg at (0.0000, 0.0000, 0.1256) and Hg at (0.0000, 0.0000, 0.3861).

***

Computed, not measured: crystalline KSrFe2 at its relaxed geometry at the PBE-GGA level of DFT.

The relative energy among the computed polymorphs comes out at 645.6 meV per atom. The spin magnetization is 1.29 μB per atom. As for the formation energy: 1246 meV per atom. The total energy comes out at -44.16 eV per cell.

The structure belongs to space group R-3m (No. 166, hexagonal axes); the cell edges are 3.3731, 3.3731 and 31.7485 Å and the angles 90.00°, 90.00° and 120.00°. The inequivalent atoms are K at (0.0000, 0.0000, 0.0000), Sr at (0.0000, 0.0000, 0.5000) and Fe at (0.0000, 0.0000, 0.2441).

***

Computed, not measured: crystalline PmPrErAl at its relaxed geometry at the PBE-GGA level of DFT.

The relative energy among the computed polymorphs comes out at 114.3 meV per atom. The spin magnetization is 0.00 μB per atom. As for the formation energy: -65 meV per atom. The total energy comes out at -72.38 eV per cell.

The structure belongs to space group F-43m (No. 216); the cell edges are 7.707, 7.707 and 7.707 Å and the angles 90.00°, 90.00° and 90.00°. The inequivalent atoms are Pm at (0.000, 0.000, 0.000), Pr at (0.000, 0.000, 0.500), Er at (0.250, 0.250, 0.750) and Al at (0.250, 0.250, 0.250).

***

Computed, not measured: crystalline Ac6HgSe5 at its relaxed geometry at the PBE-GGA level of DFT.

The spin magnetization is 0.00 μB per atom. The total energy comes out at -123.62 eV per cell. As for the formation energy without anion corrections: -1620 meV/atom.

The structure belongs to space group C2/m (No. 12); the cell edges are 7.859, 13.574 and 7.816 Å and the angles 90.00°, 109.41° and 90.00°. The inequivalent atoms are Ac at (0.248, 0.000, 0.251), Ac at (0.248, 0.168, 0.749), Hg at (0.000, 0.500, 0.000), Se at (0.000, 0.000, 0.500), Se at (0.000, 0.166, 0.000) and Se at (0.000, 0.333, 0.500).

***

Computed, not measured: crystalline Ce2DyBi at its relaxed geometry at the PBE-GGA level of DFT.

The relative energy among the computed polymorphs comes out at 55.0 meV per atom. The spin magnetization is 0.34 μB per atom. As for the formation energy: -368 meV per atom. The total energy comes out at -21.82 eV per cell.

The structure belongs to space group P4/mmm (No. 123); the cell edges are 4.639, 4.639 and 5.202 Å and the angles 90.00°, 90.00° and 90.00°. The inequivalent atoms are Ce at (0.000, 0.500, 0.000), Dy at (0.000, 0.000, 0.500) and Bi at (0.500, 0.500, 0.500).

***

Computed, not measured: crystalline YTh2Fe at its relaxed geometry at the PBE-GGA level of DFT.

The relative energy among the computed polymorphs comes out at 3.7 meV per atom. The spin magnetization is 0.00 μB per atom. As for the formation energy: -60 meV per atom. The total energy comes out at -120.02 eV per cell.

The structure belongs to space group Cmcm (No. 63); the cell edges are 3.708, 11.717 and 9.765 Å and the angles 90.00°, 90.00° and 90.00°. The inequivalent atoms are Y at (0.000, 0.088, 0.250), Th at (0.000, 0.360, 0.071) and Fe at (0.000, 0.197, 0.750).

***

Computed, not measured: crystalline Mg2FeW at its relaxed geometry at the PBE-GGA level of DFT.

The relative energy among the computed polymorphs comes out at 189.4 meV per atom. The spin magnetization is 0.59 μB per atom. As for the formation energy: 375 meV per atom. The total energy comes out at -46.21 eV per cell.

The structure belongs to space group Cmmm (No. 65); the cell edges are 3.512, 4.146 and 8.899 Å and the angles 90.00°, 90.00° and 90.00°. The inequivalent atoms are Mg at (0.000, 0.000, 0.238), Fe at (0.000, 0.500, 0.000) and W at (0.000, 0.500, 0.500).

***

Computed, not measured: crystalline B7C3 at its relaxed geometry at the PBE-GGA level of DFT.

The relative energy among the computed polymorphs comes out at 303.4 meV per atom. The spin magnetization is 0.00 μB per atom. As for the formation energy: 595 meV per atom. The total energy comes out at -205.38 eV per cell.

The structure belongs to space group R3m (No. 160, hexagonal axes); the cell edges are 2.6636, 2.6636 and 35.5873 Å and the angles 90.00°, 90.00° and 120.00°. The inequivalent atoms are B at (0.0000, 0.0000, 0.0000), B at (0.0000, 0.0000, 0.0477), B at (0.0000, 0.0000, 0.1786), B at (0.0000, 0.0000, 0.2312), B at (0.0000, 0.0000, 0.5892), B at (0.0000, 0.0000, 0.6369), B at (0.0000, 0.0000, 0.7916), C at (0.0000, 0.0000, 0.4017), C at (0.0000, 0.0000, 0.4421) and C at (0.0000, 0.0000, 0.8414).

***

Computed, not measured: crystalline CuHgTe2 at its relaxed geometry at the PBE-GGA level of DFT.

The spin magnetization is 0.00 μB per atom. The total energy comes out at -20.26 eV per cell. As for the formation energy without anion corrections: 138 meV/atom.

The structure belongs to space group Immm (No. 71); the cell edges are 3.880, 5.587 and 10.790 Å and the angles 90.00°, 90.00° and 90.00°. The inequivalent atoms are Cu at (0.000, 0.000, 0.000), Hg at (0.000, 0.000, 0.500) and Te at (0.000, 0.500, 0.345).

***

Computed, not measured: crystalline V2TeRh at its relaxed geometry at the PBE-GGA level of DFT.

The spin magnetization is 1.12 μB per atom. The total energy comes out at -106.62 eV per cell. As for the formation energy without anion corrections: 519 meV/atom.

The structure belongs to space group I-42d (No. 122); the cell edges are 5.898, 5.898 and 11.395 Å and the angles 90.00°, 90.00° and 90.00°. The inequivalent atoms are V at (0.205, 0.250, 0.125), Te at (0.000, 0.000, 0.500) and Rh at (0.000, 0.000, 0.000).

***

Computed, not measured: crystalline NiOsBr2 at its relaxed geometry at the PBE-GGA level of DFT.

The relative energy among the computed polymorphs comes out at 21.7 meV per atom. The spin magnetization is 0.50 μB per atom. The total energy comes out at -36.96 eV per cell. As for the formation energy without anion corrections: 469 meV/atom.

The structure belongs to space group Cm (No. 8); the cell edges are 6.033, 3.482 and 8.665 Å and the angles 90.00°, 102.67° and 90.00°. The inequivalent atoms are Ni at (0.000, 0.000, 0.000), Os at (0.387, 0.000, 0.170), Br at (0.112, 0.500, 0.827) and Br at (0.284, 0.500, 0.372).

***

Computed, not measured: crystalline CsBPO2 at its relaxed geometry at the PBE-GGA level of DFT.

The relative energy among the computed polymorphs comes out at 0.0 meV per atom. The spin magnetization is 0.00 μB per atom. The total energy comes out at -20.50 eV per cell. As for the formation energy without anion corrections: 472 meV/atom.

The structure belongs to space group P4/mmm (No. 123); the cell edges are 4.116, 4.116 and 3.987 Å and the angles 90.00°, 90.00° and 90.00°. The inequivalent atoms are Cs at (0.000, 0.000, 0.000), B at (0.500, 0.500, 0.500), P at (0.500, 0.500, 0.000) and O at (0.000, 0.500, 0.500).